1.
DFT (GGA-PBE) results for an optimized crystal structure of KCuH6Pd.

Cell: 4.744 4.744 5.516 Å, 90.00 90.00 60.00°
Atoms (fractional coordinates):
1 H 0.383 0.009 0.664
2 H 0.383 0.608 0.336
3 H 0.009 0.383 0.336
4 H 0.608 0.383 0.664
5 Cu 0.667 0.667 0.500
6 Pd 0.333 0.333 0.500
7 H 0.009 0.608 0.664
8 K 0.000 0.000 0.000
9 H 0.608 0.009 0.336

Results
* space group: No. 149
* total magnetic moment: 0.00 μB per atom
* final energy: -3.462 eV/atom
* mass density: 3.3 Mg/m³

2.
DFT (GGA-PBE) results for an optimized crystal structure of YNiSb2.

Cell: 4.068 4.202 5.731 Å, 77.05 90.00 90.00°
Atoms (fractional coordinates):
1 Ni 0.500 0.750 0.750
2 Sb 0.000 0.622 0.518
3 Y 0.500 0.250 0.250
4 Sb 0.000 0.878 0.982

Results
* space group: No. 10
* total magnetic moment: 0.00 μB per atom
* D(E_F): 2.1 states/eV/f.u.
* final energy: -5.544 eV/atom
* mass density: 6.8 Mg/m³

3.
DFT (GGA-PBE) results for an optimized crystal structure of FeAgBr2.

Cell: 9.351 9.351 9.351 Å, 21.46 21.46 21.46°
Atoms (fractional coordinates):
1 Br 0.882 0.882 0.882
2 Fe 0.500 0.500 0.500
3 Br 0.118 0.118 0.118
4 Ag 0.000 0.000 0.000

Results
* space group: No. 166
* total magnetic moment: 0.00 μB per atom
* D(E_F): 1.1 states/eV/f.u.
* final energy: -3.454 eV/atom
* mass density: 5.6 Mg/m³

4.
DFT (GGA-PBE) results for an optimized crystal structure of Ce3Cd2Hg.

Cell: 3.988 3.988 10.537 Å, 90.00 90.00 90.00°
Atoms (fractional coordinates):
1 Ce 0.000 0.000 0.664
2 Ce 0.000 0.000 0.000
3 Cd 0.500 0.500 0.165
4 Ce 0.000 0.000 0.336
5 Cd 0.500 0.500 0.835
6 Hg 0.500 0.500 0.500

Results
* space group: No. 123
* total magnetic moment: 0.67 μB per atom
* D(E_F): 22.3 states/eV/f.u.
* final energy: -3.495 eV/atom
* mass density: 8.4 Mg/m³

5.
DFT (GGA-PBE) results for an optimized crystal structure of Pm16Nd7Tm6.

Cell: 11.341 11.341 11.341 Å, 60.00 60.00 60.00°
Atoms (fractional coordinates):
1 Pm 0.349 0.349 0.952
2 Nd 0.000 0.000 0.000
3 Tm 0.737 0.263 0.737
4 Pm 0.126 0.623 0.126
5 Pm 0.349 0.952 0.349
6 Tm 0.263 0.737 0.737
7 Nd 0.500 0.000 0.500
8 Nd 0.500 0.000 0.000
9 Nd 0.000 0.000 0.500
10 Pm 0.126 0.126 0.126
11 Tm 0.737 0.737 0.263
12 Pm 0.377 0.874 0.874
13 Tm 0.263 0.263 0.737
14 Pm 0.651 0.048 0.651
15 Pm 0.623 0.126 0.126
16 Pm 0.651 0.651 0.651
17 Tm 0.737 0.263 0.263
18 Nd 0.500 0.500 0.000
19 Pm 0.048 0.651 0.651
20 Pm 0.874 0.377 0.874
21 Nd 0.000 0.500 0.500
22 Pm 0.874 0.874 0.377
23 Tm 0.263 0.737 0.263
24 Pm 0.874 0.874 0.874
25 Pm 0.651 0.651 0.048
26 Pm 0.126 0.126 0.623
27 Pm 0.952 0.349 0.349
28 Nd 0.000 0.500 0.000
29 Pm 0.349 0.349 0.349

Results
* space group: No. 225
* total magnetic moment: 0.00 μB per atom
* D(E_F): 38.9 states/eV/f.u.
* final energy: -4.460 eV/atom
* mass density: 7.0 Mg/m³

6.
DFT (GGA-PBE) results for an optimized crystal structure of TmTe2As.

Cell: 4.031 4.031 9.626 Å, 77.91 77.91 60.00°
Atoms (fractional coordinates):
1 As 0.500 0.500 0.500
2 Tm 0.000 0.000 0.000
3 Te 0.894 0.894 0.319
4 Te 0.106 0.106 0.681

Results
* space group: No. 166
* total magnetic moment: 0.00 μB per atom
* D(E_F): 1.1 states/eV/f.u.
* final energy: -3.875 eV/atom
* mass density: 6.3 Mg/m³

Q: What is the final energy in the fifth record?
A: -4.460 eV/atom